First-principles (PBE) data for a geometry-optimized TlHgIr2W structure, as listed in Alexandria via LeMat-Bulk.

Structure (POSCAR):
```
TlHgIr2W
1.0
4.7924 0.0000 0.0000
0.0000 5.4823 0.0000
0.0000 0.0000 4.7924
Ir Hg W Tl
2 1 1 1
Direct
0.0000 0.0000 0.5000
0.5000 0.0000 0.0000
0.0000 0.5000 0.0000
0.0000 0.0000 0.0000
0.5000 0.5000 0.5000
```

## Properties
DFT formation energy: 1.217 eV/atom
total DFT energy (no corrections): -27.256 eV/f.u.

First-principles (PBE) data for a geometry-optimized YTl2HgIr structure, as listed in Alexandria via LeMat-Bulk.

Structure (POSCAR):
```
YTl2HgIr
1.0
5.2876 0.0000 0.0000
0.0000 5.3326 0.0000
0.0000 0.0000 5.2876
Tl Ir Y Hg
2 1 1 1
Direct
0.5000 0.0000 0.0000
0.0000 0.0000 0.5000
0.0000 0.0000 0.0000
0.0000 0.5000 0.0000
0.5000 0.5000 0.5000
```

## Properties
DFT formation energy: -0.102 eV/atom
total DFT energy (no corrections): -20.872 eV/f.u.

V, respectively: 125.91; 149.09 Å³/f.u..